[1]
AlCrBiO6 | PBE+U | optimized geometry

extended XYZ file:
```
18
Lattice="4.635 0.000 0.000 0.000 4.635 0.000 0.000 0.000 9.282" Properties=species:S:1:pos:R:3 pbc="T T T"
Al 0.000 0.000 0.000
Al 2.318 2.318 4.641
Cr 0.000 0.000 6.188
Cr 2.318 2.318 1.547
Bi 0.000 0.000 3.108
Bi 2.318 2.318 7.749
O 0.820 0.820 7.764
O 0.946 0.946 1.428
O 0.952 0.952 4.770
O 1.366 3.269 0.129
O 1.371 3.264 6.069
O 1.498 3.138 3.123
O 3.138 1.498 3.123
O 3.264 1.371 6.069
O 3.269 1.366 0.129
O 3.684 3.684 4.770
O 3.689 3.689 1.428
O 3.815 3.815 7.764
```

Output
The space-group type is P4_2nm, No. 102.

[2]
AlCrBi2O6 | PBE+U | optimized geometry

extended XYZ file:
```
10
Lattice="2.754 1.590 4.543 -2.754 1.590 4.543 0.000 -3.180 4.543" Properties=species:S:1:pos:R:3 pbc="T T T"
Al 0.000 0.000 0.000
Cr 0.000 0.000 6.834
Bi 0.000 0.000 3.057
Bi 0.000 0.000 9.887
O -1.639 0.547 5.814
O -1.190 -1.071 8.130
O 0.345 -1.693 5.814
O -0.332 1.566 8.130
O 1.293 1.146 5.814
O 1.522 -0.496 8.130
```

Output
The space-group type is R3, No. 146.

Number 1: VASP energy -6.62 eV/atom. Number 2: VASP energy -6.71 eV/atom.